(1)
{"formula": "Sc2GaH2", "functional": "GGA-PBEsol", "state": "optimized geometry", "m_tot_mub_per_fu": 0.000, "sg": "No. 139", "crystal_system": "tetragonal", "dft_energy_ev_per_cell": -26.762, "dos_ef_per_ev_atom": 0.269, "cell": [[-1.669, 1.669, 5.582], [1.669, -1.669, 5.582], [1.669, 1.669, -5.582]], "species": ["Sc", "Sc", "Ga", "H", "H"], "frac_coords": [[0.148, 0.148, 0.000], [0.852, 0.852, 0.000], [0.500, 0.500, 0.000], [0.250, 0.750, 0.500], [0.750, 0.250, 0.500]]}

(2)
{"formula": "LiZrFe4", "functional": "GGA-PBEsol", "state": "optimized geometry", "m_tot_mub_per_fu": 5.191, "sg": "No. 216", "crystal_system": "cubic", "dft_energy_ev_per_cell": -47.244, "dos_ef_per_ev_atom": 0.833, "cell": [[0.000, 3.358, 3.358], [3.358, 0.000, 3.358], [3.358, 3.358, 0.000]], "species": ["Li", "Zr", "Fe", "Fe", "Fe", "Fe"], "frac_coords": [[0.000, 0.000, 0.000], [0.750, 0.750, 0.750], [0.374, 0.374, 0.374], [0.374, 0.374, 0.878], [0.374, 0.878, 0.374], [0.878, 0.374, 0.374]]}

(3)
{"formula": "PrRe2", "functional": "GGA-PBEsol", "state": "optimized geometry", "m_tot_mub_per_fu": 0.000, "sg": "No. 227", "crystal_system": "cubic", "dft_energy_ev_per_cell": -62.990, "dos_ef_per_ev_atom": 0.934, "cell": [[0.000, 3.865, 3.865], [3.865, 0.000, 3.865], [3.865, 3.865, 0.000]], "species": ["Pr", "Pr", "Re", "Re", "Re", "Re"], "frac_coords": [[0.125, 0.125, 0.125], [0.875, 0.875, 0.875], [0.000, 0.500, 0.500], [0.500, 0.000, 0.500], [0.500, 0.500, 0.000], [0.500, 0.500, 0.500]]}

(4)
{"formula": "KTe2Au", "functional": "GGA-PBEsol", "state": "optimized geometry", "m_tot_mub_per_fu": 0.000, "formation_energy_uncorrected_ev_per_atom": -0.40, "sg": "No. 122", "crystal_system": "tetragonal", "dos_ef_per_ev_atom": 0.216, "cell": [[-4.195, 4.195, 3.358], [4.195, -4.195, 3.358], [4.195, 4.195, -3.358]], "species": ["K", "K", "Te", "Te", "Te", "Te", "Au", "Au"], "frac_coords": [[0.000, 0.000, 0.000], [0.750, 0.250, 0.500], [0.198, 0.125, 0.573], [0.375, 0.802, 0.927], [0.552, 0.625, 0.427], [0.875, 0.448, 0.073], [0.250, 0.750, 0.500], [0.500, 0.500, 0.000]]}